Material: CaLa2Ag
Method: DFT, PBE-GGA
State: relaxed

Summary:
ρ (kg/m³): 5501
Space-group type: No. 225
DOS(E_F) (states/eV/f.u.): 6.21
Energy above the lowest structure with this stoichiometry (meV per atom): 163

Lattice parameters (Å, degrees): 5.6643 5.6643 5.6643 60.00 60.00 60.00
Atoms (fractional coordinates):
Ca  0.0000  0.0000  0.0000
La  0.2500  0.2500  0.2500
La  0.7500  0.7500  0.7500
Ag  0.5000  0.5000  0.5000